A plane-wave DFT calculation with PBE was carried out for crystalline BaMgMnGa2 at its relaxed geometry.

Cell lengths 5.2983, 5.2983, 5.4121 Å; angles 90.00, 90.00, 90.00 degrees
Closest atoms and distances in Å follow each position.
Space group P4/mmm (No. 123)
Asymmetric unit:
Ba  0.0000  0.0000  0.0000 (multiplicity 1)  4 Ga 2.65, 2 Mg 2.71
Mg  0.0000  0.0000  0.5000 (multiplicity 1)  2 Ba 2.71
Mn  0.5000  0.5000  0.5000 (multiplicity 1)  4 Mg 3.75, 8 Ga 3.79
Ga  0.0000  0.5000  0.0000 (multiplicity 2)  2 Ba 2.65

Properties
Its crystal system is tetragonal. The energy of formation is 1572.4 meV/atom.



A plane-wave DFT calculation with PBE was carried out for crystalline PrNdPt at its relaxed geometry.

Cell lengths 3.9520, 12.3227, 7.1845 Å; angles 90.00, 90.00, 90.00 degrees
Closest atoms and distances in Å follow each position.
Space group Cmcm (No. 63)
Asymmetric unit:
Pr  0.0000  0.2137  0.2500 (multiplicity 4)  2 Pt 2.93
Nd  0.0000  0.5000  0.0000 (multiplicity 4)  4 Pt 3.00
Pt  0.0000  0.1103  0.7500 (multiplicity 4)  2 Pr 2.93, 4 Nd 3.00

Properties
Its crystal system is orthorhombic. The energy of formation is -772.2 meV/atom.



A plane-wave DFT calculation with PBE was carried out for crystalline Tb2PmSi4 at its relaxed geometry.

Cell lengths 3.8951, 4.3016, 17.6220 Å; angles 90.00, 90.00, 90.00 degrees
Closest atoms and distances in Å follow each position.
Space group Immm (No. 71)
Asymmetric unit:
Tb  0.0000  0.0000  0.1828 (multiplicity 4)  7 Si 2.95-2.97
Pm  0.0000  0.5000  0.5000 (multiplicity 2)  12 Si 3.13-3.40
Si  0.0000  0.0000  0.3504 (multiplicity 4)  2 Si 2.43
Si  0.0000  0.5000  0.0668 (multiplicity 4)  3 Si 2.35-2.43

Properties
Its crystal system is orthorhombic. As for the uncorrected formation energy: -0.7655 eV/atom.



A plane-wave DFT calculation with PBE was carried out for crystalline In3GaF at its relaxed geometry.

Cell lengths 5.3955, 5.3955, 5.3955 Å; angles 90.00, 90.00, 90.00 degrees
Closest atoms and distances in Å follow each position.
Space group Pm-3m (No. 221)
Asymmetric unit:
In  0.0000  0.0000  0.5000 (multiplicity 3)  2 Ga 2.70
Ga  0.0000  0.0000  0.0000 (multiplicity 1)  6 In 2.70
F  0.5000  0.5000  0.5000 (multiplicity 1)  12 In 3.82

Properties
Its crystal system is cubic. As for the uncorrected formation energy: -0.1162 eV/atom.



A plane-wave DFT calculation with PBE was carried out for crystalline MgScAlS4 at its relaxed geometry.

Cell lengths 7.3545, 7.3778, 10.4534 Å; angles 90.00, 90.00, 90.00 degrees
Closest atoms and distances in Å follow each position.
Space group Imma (No. 74)
Asymmetric unit:
Mg  0.2500  0.2500  0.2500 (multiplicity 4)  6 S 2.57-2.61
Sc  0.0000  0.0000  0.0000 (multiplicity 4)  6 S 2.57-2.59
Al  0.0000  0.2500  0.6324 (multiplicity 4)  4 S 2.28-2.32
S  0.0000  0.0062  0.2460 (multiplicity 8)  1 Al 2.28
S  0.2473  0.2500  0.0000 (multiplicity 8)  1 Al 2.32, 2 Sc 2.59

Properties
Its crystal system is orthorhombic. As for the uncorrected formation energy: -1.4540 eV/atom.



A plane-wave DFT calculation with PBE was carried out for crystalline V2CuOs2 at its relaxed geometry.

Cell lengths 7.2058, 7.2058, 2.8159 Å; angles 90.00, 90.00, 90.00 degrees
Closest atoms and distances in Å follow each position.
Space group P4/mbm (No. 127)
Asymmetric unit:
V  0.1451  0.3549  0.0000 (multiplicity 4)  6 Os 2.50-2.56, 2 Cu 2.76
Cu  0.0000  0.0000  0.0000 (multiplicity 2)  4 V 2.76, 2 Cu 2.82, 8 Os 3.08
Os  0.1519  0.6519  0.5000 (multiplicity 4)  6 V 2.50-2.56

Properties
Its crystal system is tetragonal. The energy of formation is 150.1 meV/atom.



A plane-wave DFT calculation with PBE was carried out for crystalline CaTa at its relaxed geometry.

Cell lengths 3.0991, 3.0991, 16.8124 Å; angles 90.00, 90.00, 120.00 degrees
Closest atoms and distances in Å follow each position.
Space group R-3m (No. 166, hexagonal axes)
Asymmetric unit:
Ca  0.0000  0.0000  0.0000 (multiplicity 3)  6 Ca 3.10, 6 Ta 3.32
Ta  0.0000  0.0000  0.5000 (multiplicity 3)  6 Ta 3.10, 6 Ca 3.32

Properties
Its crystal system is trigonal. The energy of formation is 808.4 meV/atom.



A plane-wave DFT calculation with PBE was carried out for crystalline LaTc2Te at its relaxed geometry.

Cell lengths 6.7742, 6.7742, 6.7742 Å; angles 90.00, 90.00, 90.00 degrees
Closest atoms and distances in Å follow each position.
Space group Fm-3m (No. 225)
Asymmetric unit:
La  0.0000  0.0000  0.0000 (multiplicity 4)  8 Tc 2.93
Tc  0.2500  0.2500  0.2500 (multiplicity 8)  4 La 2.93, 4 Te 2.93
Te  0.0000  0.0000  0.5000 (multiplicity 4)  8 Tc 2.93

Properties
Its crystal system is cubic. As for the uncorrected formation energy: 0.2037 eV/atom.



A plane-wave DFT calculation with PBE was carried out for crystalline HfFeBr2 at its relaxed geometry.

Cell lengths 6.5155, 6.5155, 6.5155 Å; angles 90.00, 90.00, 90.00 degrees
Closest atoms and distances in Å follow each position.
Space group Fm-3m (No. 225)
Asymmetric unit:
Hf  0.0000  0.0000  0.0000 (multiplicity 4)  8 Br 2.82
Fe  0.0000  0.0000  0.5000 (multiplicity 4)  8 Br 2.82
Br  0.2500  0.2500  0.2500 (multiplicity 8)  4 Hf 2.82, 4 Fe 2.82

Properties
Its crystal system is cubic. As for the uncorrected formation energy: 0.5224 eV/atom.



A plane-wave DFT calculation with PBE was carried out for crystalline Pm2ZrUN4 at its relaxed geometry.

Cell lengths 5.9165, 3.4586, 6.0535 Å; angles 90.00, 108.79, 90.00 degrees
Closest atoms and distances in Å follow each position.
Space group P2/m (No. 10)
Asymmetric unit:
Pm  0.0000  0.0000  0.0000 (multiplicity 1)  6 N 2.59-2.60
Pm  0.5000  0.5000  0.0000 (multiplicity 1)  6 N 2.56-2.57
Zr  0.0000  0.5000  0.5000 (multiplicity 1)  6 N 2.32-2.35
U  0.5000  0.0000  0.5000 (multiplicity 1)  6 N 2.27-2.33
N  0.2451  0.0000  0.7115 (multiplicity 2)  1 U 2.27, 2 Zr 2.35
N  0.2641  0.5000  0.2877 (multiplicity 2)  1 Zr 2.32, 2 U 2.33, 3 Pm 2.56-2.59

Properties
Its crystal system is monoclinic. As for the uncorrected formation energy: -1.5373 eV/atom.



A plane-wave DFT calculation with PBE was carried out for crystalline ReSeS at its relaxed geometry.

Cell lengths 6.8086, 6.7277, 5.9105 Å; angles 90.00, 108.64, 90.00 degrees
Closest atoms and distances in Å follow each position.
Space group P2_1/c (No. 14)
Asymmetric unit:
Re  0.0088  0.1066  0.3040 (multiplicity 4)  3 S 2.33-2.52, 2 Se 2.45-2.50
Se  0.2634  0.6489  0.0003 (multiplicity 4)  3 Re 2.45-2.69
S  0.1988  0.1270  0.0183 (multiplicity 4)  3 Re 2.33-2.52

Properties
Its crystal system is monoclinic. As for the uncorrected formation energy: -0.1874 eV/atom.



A plane-wave DFT calculation with PBE was carried out for crystalline SnB at its relaxed geometry.

Cell lengths 3.1481, 3.6365, 7.0582 Å; angles 90.00, 94.79, 90.00 degrees
Closest atoms and distances in Å follow each position.
Space group Pm (No. 6)
Asymmetric unit:
Sn  0.0000  0.0000  0.0000 (multiplicity 1)  4 B 2.47-2.74
Sn  0.1446  0.5000  0.5801 (multiplicity 1)  2 B 2.52-2.59
B  0.2034  0.5000  0.2269 (multiplicity 1)  2 B 1.57-1.60
B  0.7126  0.5000  0.2510 (multiplicity 1)  2 B 1.57-1.60

Properties
Its crystal system is monoclinic. The energy of formation is 424.0 meV/atom.



A plane-wave DFT calculation with PBE was carried out for crystalline CaPRu at its relaxed geometry.

Cell lengths 3.1259, 3.1259, 10.7569 Å; angles 90.00, 90.00, 90.00 degrees
Closest atoms and distances in Å follow each position.
Space group I4mm (No. 107)
Asymmetric unit:
Ca  0.0000  0.0000  0.0000 (multiplicity 2)  5 P 3.07-3.24, 5 Ru 3.12-3.16, 4 Ca 3.13
P  0.0000  0.0000  0.6985 (multiplicity 2)  4 Ru 2.42
Ru  0.0000  0.0000  0.2897 (multiplicity 2)  4 P 2.42

Properties
Its crystal system is tetragonal. The energy of formation is -569.6 meV/atom.



A plane-wave DFT calculation with PBE was carried out for crystalline NaSiB at its relaxed geometry.

Cell lengths 3.4645, 4.6617, 6.0810 Å; angles 90.00, 90.00, 90.00 degrees
Closest atoms and distances in Å follow each position.
Space group Pmmm (No. 47)
Asymmetric unit:
Na  0.0000  0.0000  0.0000 (multiplicity 1)  4 Si 2.99, 8 B 3.02
Na  0.5000  0.0000  0.5000 (multiplicity 1)  8 Si 3.13, 4 B 3.20, 6 Na 3.46-3.50
Si  0.0000  0.5000  0.3084 (multiplicity 2)  2 B 2.01
B  0.5000  0.5000  0.1392 (multiplicity 2)  1 B 1.69

Properties
Its crystal system is orthorhombic. As for the uncorrected formation energy: 0.0407 eV/atom.



A plane-wave DFT calculation with PBE was carried out for crystalline Sr2MgAl7 at its relaxed geometry.

Cell lengths 4.4690, 4.4690, 11.5196 Å; angles 90.00, 90.00, 90.00 degrees
Closest atoms and distances in Å follow each position.
Space group P-4m2 (No. 115)
Asymmetric unit:
Sr  0.0000  0.5000  0.2429 (multiplicity 2)  14 Al 3.41-3.71, 2 Mg 3.71
Mg  0.0000  0.0000  0.5000 (multiplicity 1)  4 Al 2.76
Al  0.0000  0.0000  0.0000 (multiplicity 1)  4 Al 2.70
Al  0.0000  0.5000  0.6409 (multiplicity 2)  3 Al 2.62-2.76, 2 Mg 2.76
Al  0.0000  0.5000  0.8681 (multiplicity 2)  5 Al 2.62-2.70
Al  0.5000  0.5000  0.0000 (multiplicity 1)  4 Al 2.70
Al  0.5000  0.5000  0.5000 (multiplicity 1)  4 Al 2.76

Properties
Its crystal system is tetragonal. The energy of formation is -214.7 meV/atom.



A plane-wave DFT calculation with PBE was carried out for crystalline NiTe2MoI at its relaxed geometry.

Cell lengths 5.0734, 5.0734, 5.1957 Å; angles 90.00, 90.00, 90.00 degrees
Closest atoms and distances in Å follow each position.
Space group P4/mmm (No. 123)
Asymmetric unit:
Ni  0.0000  0.0000  0.0000 (multiplicity 1)  4 Te 2.54, 2 I 2.60
Te  0.0000  0.5000  0.0000 (multiplicity 2)  2 Ni 2.54
Mo  0.5000  0.5000  0.5000 (multiplicity 1)  4 I 3.59, 8 Te 3.63
I  0.0000  0.0000  0.5000 (multiplicity 1)  2 Ni 2.60

Properties
Its crystal system is tetragonal. As for the uncorrected formation energy: 0.8870 eV/atom.



A plane-wave DFT calculation with PBE was carried out for crystalline TeH2Pb2 at its relaxed geometry.

Cell lengths 8.1786, 8.1786, 3.2025 Å; angles 90.00, 90.00, 90.00 degrees
Closest atoms and distances in Å follow each position.
Space group P4/mbm (No. 127)
Asymmetric unit:
Te  0.0000  0.0000  0.0000 (multiplicity 2)  2 Te 3.20, 4 H 3.38, 8 Pb 3.55
H  0.0991  0.4009  0.0000 (multiplicity 4)  1 H 2.29, 4 Pb 2.54
Pb  0.1382  0.6382  0.5000 (multiplicity 4)  4 H 2.54

Properties
Its crystal system is tetragonal.



A plane-wave DFT calculation with PBE was carried out for crystalline Cs5P2I at its relaxed geometry.

Cell lengths 9.2078, 9.2078, 18.2435 Å; angles 90.00, 90.00, 90.00 degrees
Closest atoms and distances in Å follow each position.
Space group I4/mcm (No. 140)
Asymmetric unit:
Cs  0.0000  0.0000  0.0000 (multiplicity 4)  4 P 3.87, 8 Cs 4.07
Cs  0.1812  0.3188  0.1250 (multiplicity 16)  3 P 3.48-3.76
P  0.0889  0.4111  0.5000 (multiplicity 8)  1 P 2.32
I  0.0000  0.0000  0.2500 (multiplicity 4)  10 Cs 4.07-4.56

Properties
Its crystal system is tetragonal. As for the uncorrected formation energy: -0.5701 eV/atom.



A plane-wave DFT calculation with PBE was carried out for crystalline Rb2UAsSe5 at its relaxed geometry.

Cell lengths 4.3995, 19.4924, 14.9489 Å; angles 90.00, 90.00, 90.00 degrees
Closest atoms and distances in Å follow each position.
Space group Cmc2_1 (No. 36)
Asymmetric unit:
Rb  0.0000  0.1089  0.0000 (multiplicity 4)  6 Se 3.49-3.75
Rb  0.0000  0.1323  0.6568 (multiplicity 4)  7 Se 3.51-3.89
U  0.0000  0.2010  0.3721 (multiplicity 4)  6 Se 2.61-2.92
As  0.0000  0.4472  0.7662 (multiplicity 4)  2 Se 2.33-2.51
Se  0.0000  0.0608  0.3814 (multiplicity 4)  1 U 2.73, 2 As 2.80
Se  0.0000  0.2910  0.9886 (multiplicity 4)  2 U 2.81
Se  0.0000  0.3195  0.7464 (multiplicity 4)  1 As 2.51
Se  0.0000  0.3316  0.3336 (multiplicity 4)  1 U 2.61
Se  0.0000  0.4937  0.6223 (multiplicity 4)  1 As 2.33

Properties
Its crystal system is orthorhombic. As for the uncorrected formation energy: -0.8845 eV/atom.



A plane-wave DFT calculation with PBE was carried out for crystalline TaCrAu2 at its relaxed geometry.

Cell lengths 3.1715, 3.5436, 5.9599 Å; angles 90.00, 90.00, 90.00 degrees
Closest atoms and distances in Å follow each position.
Space group Pmm2 (No. 25)
Asymmetric unit:
Ta  0.0000  0.0000  0.0000 (multiplicity 1)  4 Cr 2.74, 5 Au 2.82-2.84
Cr  0.5000  0.5000  0.7701 (multiplicity 1)  4 Ta 2.74, 6 Au 2.79-3.04
Au  0.0000  0.0000  0.5260 (multiplicity 1)  4 Cr 2.79, 1 Ta 2.82, 4 Au 2.86
Au  0.5000  0.5000  0.2593 (multiplicity 1)  4 Ta 2.84, 6 Au 2.86-3.17, 2 Cr 2.92-3.04

Properties
Its crystal system is orthorhombic. The energy of formation is 83.5 meV/atom.



Number 1: electronic total energy -10.88 eV per formula unit. Number 2: electronic total energy -17.90 eV per formula unit. Number 3: electronic total energy -41.06 eV per formula unit. Number 4: electronic total energy -13.69 eV per formula unit. Number 5: electronic total energy -38.36 eV per formula unit. Number 6: electronic total energy -44.04 eV per formula unit. Number 7: electronic total energy -12.24 eV per formula unit. Number 8: electronic total energy -27.99 eV per formula unit. Number 9: electronic total energy -19.67 eV per formula unit. Number 10: electronic total energy -74.94 eV per formula unit. Number 11: electronic total energy -20.62 eV per formula unit. Number 12: electronic total energy -9.83 eV per formula unit. Number 13: electronic total energy -18.40 eV per formula unit. Number 14: electronic total energy -13.30 eV per formula unit. Number 15: electronic total energy -33.30 eV per formula unit. Number 16: electronic total energy -20.01 eV per formula unit. Number 17: electronic total energy -15.24 eV per formula unit. Number 18: electronic total energy -21.20 eV per formula unit. Number 19: electronic total energy -43.26 eV per formula unit. Number 20: electronic total energy -27.70 eV per formula unit.